Record 1
Material: Ag2PdAu2
Method: DFT, GGA-PBE
State: optimized geometry

Lattice parameters (Å, degrees): 7.065 7.065 3.801 90.00 90.00 90.00
Sites, in units of the cell vectors:
Ag: 0.165 0.335 0.000
Ag: 0.335 0.835 0.000
Ag: 0.665 0.165 0.000
Ag: 0.835 0.665 0.000
Pd: 0.000 0.000 0.500
Pd: 0.500 0.500 0.500
Au: 0.138 0.638 0.500
Au: 0.362 0.138 0.500
Au: 0.638 0.862 0.500
Au: 0.862 0.362 0.500

Values from the calculation:
- energy above the most stable polymorph in this dataset (meV per atom) = 171
- energy relative to the elements (eV/atom) = 0.1114

***

Record 2
Material: Ag4Pd3Au4
Method: DFT, GGA-PBE
State: optimized geometry

Lattice parameters (Å, degrees): 8.142 6.382 6.382 37.01 90.00 90.00
Sites, in units of the cell vectors:
Ag: 0.000 0.000 0.000
Ag: 0.246 0.498 0.498
Ag: 0.500 0.997 0.997
Ag: 0.754 0.498 0.498
Pd: 0.245 0.828 0.828
Pd: 0.500 0.666 0.666
Pd: 0.755 0.828 0.828
Au: 0.000 0.324 0.324
Au: 0.247 0.164 0.164
Au: 0.500 0.330 0.330
Au: 0.753 0.164 0.164

Values from the calculation:
- energy above the most stable polymorph in this dataset (meV per atom) = 61
- energy relative to the elements (eV/atom) = -0.0079

***

Record 3
Material: Ag2Pd5Au3
Method: DFT, GGA-PBE
State: optimized geometry

Lattice parameters (Å, degrees): 8.950 8.950 8.950 107.79 82.41 145.74
Sites, in units of the cell vectors:
Ag: 0.241 0.116 0.357
Ag: 0.259 0.616 0.876
Ag: 0.741 0.384 0.124
Ag: 0.759 0.884 0.643
Pd: 0.149 0.862 0.011
Pd: 0.250 0.505 0.255
Pd: 0.250 0.750 0.500
Pd: 0.250 0.995 0.745
Pd: 0.351 0.362 0.713
Pd: 0.649 0.638 0.287
Pd: 0.750 0.005 0.255
Pd: 0.750 0.250 0.500
Pd: 0.750 0.495 0.745
Pd: 0.851 0.138 0.989
Au: 0.155 0.373 0.527
Au: 0.250 0.250 0.000
Au: 0.345 0.873 0.218
Au: 0.655 0.127 0.782
Au: 0.750 0.750 0.000
Au: 0.845 0.627 0.473

Values from the calculation:
- energy above the most stable polymorph in this dataset (meV per atom) = 122
- energy relative to the elements (eV/atom) = 0.2314

***

Record 4
Material: Ag10Pd6Au
Method: DFT, GGA-PBE
State: optimized geometry

Lattice parameters (Å, degrees): 7.843 7.843 5.603 90.00 90.00 120.00
Sites, in units of the cell vectors:
Ag: 0.000 0.313 0.343
Ag: 0.000 0.687 0.657
Ag: 0.313 0.000 0.343
Ag: 0.313 0.313 0.657
Ag: 0.333 0.667 0.000
Ag: 0.333 0.667 0.500
Ag: 0.667 0.333 0.000
Ag: 0.667 0.333 0.500
Ag: 0.687 0.000 0.657
Ag: 0.687 0.687 0.343
Pd: 0.000 0.340 0.844
Pd: 0.000 0.660 0.156
Pd: 0.340 0.000 0.844
Pd: 0.340 0.340 0.156
Pd: 0.660 0.000 0.156
Pd: 0.660 0.660 0.844
Au: 0.000 0.000 0.000

Values from the calculation:
- energy relative to the elements (eV/atom) = 0.0144

***

Record 5
Material: Ag3Pd4Au2
Method: DFT, GGA-PBE
State: optimized geometry

Lattice parameters (Å, degrees): 6.455 6.455 6.356 107.74 107.74 36.89
Sites, in units of the cell vectors:
Ag: 0.000 0.000 0.000
Ag: 0.111 0.111 0.661
Ag: 0.889 0.889 0.339
Pd: 0.223 0.223 0.336
Pd: 0.443 0.443 0.665
Pd: 0.557 0.557 0.335
Pd: 0.777 0.777 0.664
Au: 0.334 0.334 0.999
Au: 0.666 0.666 0.001

Values from the calculation:
- energy above the most stable polymorph in this dataset (meV per atom) = 13
- energy relative to the elements (eV/atom) = -0.0578

***

Record 6
Material: AgPd4Au2
Method: DFT, GGA-PBE
State: optimized geometry

Lattice parameters (Å, degrees): 4.941 6.383 7.553 90.10 90.30 104.85
Sites, in units of the cell vectors:
Ag: 0.000 0.000 0.000
Ag: 0.430 0.782 0.074
Pd: 0.142 0.433 0.860
Pd: 0.285 0.358 0.216
Pd: 0.290 0.856 0.717
Pd: 0.574 0.716 0.432
Pd: 0.713 0.144 0.288
Pd: 0.718 0.645 0.787
Pd: 0.854 0.068 0.645
Pd: 0.856 0.567 0.145
Au: 0.001 0.500 0.502
Au: 0.139 0.929 0.359
Au: 0.427 0.286 0.575
Au: 0.573 0.219 0.932

Values from the calculation:
- energy above the most stable polymorph in this dataset (meV per atom) = 0
- energy relative to the elements (eV/atom) = -0.0553

***

Record 7
Material: Ag2Pd2Au7
Method: DFT, GGA-PBE
State: optimized geometry

Lattice parameters (Å, degrees): 6.510 6.510 5.125 100.81 100.81 79.99
Sites, in units of the cell vectors:
Ag: 0.179 0.821 0.000
Ag: 0.821 0.179 0.000
Pd: 0.242 0.242 0.265
Pd: 0.758 0.758 0.735
Au: 0.000 0.000 0.500
Au: 0.064 0.407 0.751
Au: 0.407 0.064 0.751
Au: 0.480 0.480 0.739
Au: 0.520 0.520 0.261
Au: 0.593 0.936 0.249
Au: 0.936 0.593 0.249

Values from the calculation:
- energy above the most stable polymorph in this dataset (meV per atom) = 39
- energy relative to the elements (eV/atom) = 0.0461

***

Record 8
Material: Ag14PdAu
Method: DFT, GGA-PBE
State: optimized geometry

Lattice parameters (Å, degrees): 9.587 5.868 5.868 59.47 90.00 90.00
Sites, in units of the cell vectors:
Ag: 0.000 0.000 0.000
Ag: 0.000 0.000 0.500
Ag: 0.000 0.500 0.000
Ag: 0.000 0.500 0.500
Ag: 0.249 0.334 0.334
Ag: 0.250 0.834 0.834
Ag: 0.252 0.336 0.833
Ag: 0.252 0.833 0.336
Ag: 0.500 0.168 0.668
Ag: 0.500 0.668 0.168
Ag: 0.748 0.336 0.833
Ag: 0.748 0.833 0.336
Ag: 0.750 0.834 0.834
Ag: 0.751 0.334 0.334
Pd: 0.500 0.669 0.669
Au: 0.500 0.169 0.169

Values from the calculation:
- energy relative to the elements (eV/atom) = 0.0056

***

Record 9
Material: Ag12PdAu2
Method: DFT, GGA-PBE
State: optimized geometry

Lattice parameters (Å, degrees): 5.418 5.418 20.331 90.00 90.00 90.00
Sites, in units of the cell vectors:
Ag: 0.000 0.000 0.099
Ag: 0.000 0.000 0.901
Ag: 0.000 0.500 0.099
Ag: 0.000 0.500 0.901
Ag: 0.071 0.571 0.437
Ag: 0.071 0.929 0.563
Ag: 0.250 0.250 0.203
Ag: 0.250 0.250 0.335
Ag: 0.250 0.250 0.665
Ag: 0.250 0.250 0.797
Ag: 0.429 0.571 0.563
Ag: 0.429 0.929 0.437
Ag: 0.500 0.000 0.099
Ag: 0.500 0.000 0.901
Ag: 0.500 0.500 0.099
Ag: 0.500 0.500 0.901
Ag: 0.571 0.071 0.563
Ag: 0.571 0.429 0.437
Ag: 0.750 0.750 0.203
Ag: 0.750 0.750 0.335
Ag: 0.750 0.750 0.665
Ag: 0.750 0.750 0.797
Ag: 0.929 0.071 0.437
Ag: 0.929 0.429 0.563
Pd: 0.250 0.750 0.000
Pd: 0.750 0.250 0.000
Au: 0.250 0.750 0.269
Au: 0.250 0.750 0.731
Au: 0.750 0.250 0.269
Au: 0.750 0.250 0.731

Values from the calculation:
- energy relative to the elements (eV/atom) = 0.2386

***

Record 10
Material: Ag2Pd8Au3
Method: DFT, GGA-PBE
State: optimized geometry

Lattice parameters (Å, degrees): 10.518 10.518 10.518 28.39 28.39 28.39
Sites, in units of the cell vectors:
Ag: 0.142 0.142 0.142
Ag: 0.858 0.858 0.858
Pd: 0.229 0.229 0.229
Pd: 0.231 0.231 0.730
Pd: 0.231 0.730 0.231
Pd: 0.270 0.769 0.769
Pd: 0.730 0.231 0.231
Pd: 0.769 0.270 0.769
Pd: 0.769 0.769 0.270
Pd: 0.771 0.771 0.771
Au: 0.319 0.319 0.319
Au: 0.500 0.500 0.500
Au: 0.681 0.681 0.681

Values from the calculation:
- energy above the most stable polymorph in this dataset (meV per atom) = 151
- energy relative to the elements (eV/atom) = 0.2026

***

Record 11
Material: Ag2Pd5Au2
Method: DFT, GGA-PBE
State: optimized geometry

Lattice parameters (Å, degrees): 4.948 4.950 6.381 82.95 74.98 80.02
Sites, in units of the cell vectors:
Ag: 0.169 0.332 0.332
Ag: 0.831 0.668 0.668
Pd: 0.281 0.553 0.888
Pd: 0.392 0.776 0.443
Pd: 0.500 0.000 0.000
Pd: 0.608 0.224 0.557
Pd: 0.719 0.447 0.112
Au: 0.059 0.111 0.778
Au: 0.941 0.889 0.222

Values from the calculation:
- energy above the most stable polymorph in this dataset (meV per atom) = 0
- energy relative to the elements (eV/atom) = -0.0571

***

Record 12
Material: Ag3PdAu12
Method: DFT, GGA-PBE
State: optimized geometry

Lattice parameters (Å, degrees): 4.114 4.114 16.815 90.00 90.00 90.00
Sites, in units of the cell vectors:
Ag: 0.000 0.000 0.000
Ag: 0.000 0.000 0.253
Ag: 0.000 0.000 0.747
Pd: 0.000 0.000 0.500
Au: 0.000 0.500 0.126
Au: 0.000 0.500 0.378
Au: 0.000 0.500 0.622
Au: 0.000 0.500 0.874
Au: 0.500 0.000 0.126
Au: 0.500 0.000 0.378
Au: 0.500 0.000 0.622
Au: 0.500 0.000 0.874
Au: 0.500 0.500 0.000
Au: 0.500 0.500 0.252
Au: 0.500 0.500 0.500
Au: 0.500 0.500 0.748

Values from the calculation:
- energy relative to the elements (eV/atom) = -0.0427

***

Record 13
Material: AgPdAu5
Method: DFT, GGA-PBE
State: optimized geometry

Lattice parameters (Å, degrees): 5.003 5.003 5.739 90.00 90.00 110.80
Sites, in units of the cell vectors:
Ag: 0.000 0.000 0.000
Pd: 0.500 0.500 0.500
Au: 0.000 0.000 0.500
Au: 0.000 0.500 0.246
Au: 0.000 0.500 0.754
Au: 0.500 0.000 0.246
Au: 0.500 0.000 0.754

Values from the calculation:
- energy above the most stable polymorph in this dataset (meV per atom) = 0
- energy relative to the elements (eV/atom) = 0.0529

***

Record 14
Material: Ag2Pd5Au3
Method: DFT, GGA-PBE
State: optimized geometry

Lattice parameters (Å, degrees): 10.439 10.439 10.439 141.26 49.85 149.86
Sites, in units of the cell vectors:
Ag: 0.229 0.177 0.406
Ag: 0.271 0.677 0.948
Ag: 0.729 0.323 0.052
Ag: 0.771 0.823 0.594
Pd: 0.085 0.240 0.325
Pd: 0.091 0.750 0.341
Pd: 0.250 0.750 0.500
Pd: 0.409 0.750 0.659
Pd: 0.415 0.740 0.156
Pd: 0.585 0.260 0.844
Pd: 0.591 0.250 0.341
Pd: 0.750 0.250 0.500
Pd: 0.909 0.250 0.659
Pd: 0.915 0.760 0.675
Au: 0.128 0.847 0.975
Au: 0.250 0.250 0.000
Au: 0.372 0.347 0.718
Au: 0.628 0.653 0.282
Au: 0.750 0.750 0.000
Au: 0.872 0.153 0.025

Values from the calculation:
- energy above the most stable polymorph in this dataset (meV per atom) = 0
- energy relative to the elements (eV/atom) = 0.1098

***

Record 15
Material: AgPd2Au2
Method: DFT, GGA-PBE
State: optimized geometry

Lattice parameters (Å, degrees): 5.123 5.123 4.155 113.83 113.83 81.93
Sites, in units of the cell vectors:
Ag: 0.000 0.000 0.000
Pd: 0.294 0.294 0.791
Pd: 0.706 0.706 0.209
Au: 0.293 0.707 0.500
Au: 0.707 0.293 0.500

Values from the calculation:
- energy above the most stable polymorph in this dataset (meV per atom) = 46
- energy relative to the elements (eV/atom) = 0.1091

***

Record 16
Material: AgPd2Au4
Method: DFT, GGA-PBE
State: optimized geometry

Lattice parameters (Å, degrees): 4.564 4.564 13.708 90.00 90.00 118.17
Sites, in units of the cell vectors:
Ag: 0.027 0.973 0.750
Ag: 0.973 0.027 0.250
Pd: 0.339 0.661 0.554
Pd: 0.339 0.661 0.946
Pd: 0.661 0.339 0.054
Pd: 0.661 0.339 0.446
Au: 0.000 0.000 0.000
Au: 0.000 0.000 0.500
Au: 0.308 0.692 0.145
Au: 0.308 0.692 0.355
Au: 0.365 0.635 0.750
Au: 0.635 0.365 0.250
Au: 0.692 0.308 0.645
Au: 0.692 0.308 0.855

Values from the calculation:
- energy above the most stable polymorph in this dataset (meV per atom) = 0
- energy relative to the elements (eV/atom) = 0.0263

***

Record 17
Material: Ag2PdAu3
Method: DFT, GGA-PBE
State: optimized geometry

Lattice parameters (Å, degrees): 5.073 5.073 9.115 99.39 99.39 110.85
Sites, in units of the cell vectors:
Ag: 0.042 0.292 0.084
Ag: 0.292 0.042 0.584
Ag: 0.708 0.958 0.416
Ag: 0.958 0.708 0.916
Pd: 0.125 0.875 0.250
Pd: 0.875 0.125 0.750
Au: 0.207 0.457 0.415
Au: 0.375 0.625 0.750
Au: 0.457 0.207 0.915
Au: 0.543 0.793 0.085
Au: 0.625 0.375 0.250
Au: 0.793 0.543 0.585

Values from the calculation:
- energy above the most stable polymorph in this dataset (meV per atom) = 10
- energy relative to the elements (eV/atom) = -0.0623

***

Record 18
Material: Ag3Pd6Au
Method: DFT, GGA-PBE
State: optimized geometry

Lattice parameters (Å, degrees): 7.524 4.694 9.780 90.00 108.58 90.00
Sites, in units of the cell vectors:
Ag: 0.100 0.250 0.233
Ag: 0.301 0.250 0.034
Ag: 0.302 0.750 0.365
Ag: 0.698 0.250 0.635
Ag: 0.699 0.750 0.966
Ag: 0.900 0.750 0.767
Pd: 0.100 0.750 0.064
Pd: 0.106 0.250 0.737
Pd: 0.301 0.750 0.866
Pd: 0.304 0.250 0.537
Pd: 0.496 0.750 0.667
Pd: 0.498 0.750 0.165
Pd: 0.502 0.250 0.835
Pd: 0.504 0.250 0.333
Pd: 0.696 0.750 0.463
Pd: 0.699 0.250 0.134
Pd: 0.894 0.750 0.263
Pd: 0.900 0.250 0.936
Au: 0.100 0.750 0.566
Au: 0.900 0.250 0.434

Values from the calculation:
- energy relative to the elements (eV/atom) = -0.0157

***

Record 19
Material: Ag12PdAu5
Method: DFT, GGA-PBE
State: optimized geometry

Lattice parameters (Å, degrees): 8.761 8.761 5.081 106.68 106.68 60.35
Sites, in units of the cell vectors:
Ag: 0.000 0.331 0.832
Ag: 0.000 0.669 0.168
Ag: 0.165 0.835 0.000
Ag: 0.166 0.501 0.667
Ag: 0.331 0.000 0.832
Ag: 0.331 0.669 0.500
Ag: 0.499 0.834 0.333
Ag: 0.501 0.166 0.667
Ag: 0.669 0.000 0.168
Ag: 0.669 0.331 0.500
Ag: 0.834 0.499 0.333
Ag: 0.835 0.165 0.000
Pd: 0.000 0.000 0.500
Au: 0.165 0.165 0.335
Au: 0.333 0.333 0.167
Au: 0.500 0.500 0.000
Au: 0.667 0.667 0.833
Au: 0.835 0.835 0.665

Values from the calculation:
- energy relative to the elements (eV/atom) = -0.0467

***

Number 1: theoretical density 12.5 g/cm³, total magnetization 0.000 μB per formula unit. Number 2: theoretical density 12.8 g/cm³, total magnetization 0.000 μB per formula unit. Number 3: theoretical density 11.9 g/cm³, total magnetization 0.000 μB per formula unit. Number 4: theoretical density 10.6 g/cm³, total magnetization 0.000 μB per formula unit. Number 5: theoretical density 12.6 g/cm³, total magnetization 0.000 μB per formula unit. Number 6: theoretical density 13.4 g/cm³, total magnetization 0.000 μB per formula unit. Number 7: theoretical density 14.5 g/cm³, total magnetization 0.000 μB per formula unit. Number 8: theoretical density 10.6 g/cm³, total magnetization 0.000 μB per formula unit. Number 9: theoretical density 10.0 g/cm³, total magnetization 0.000 μB per formula unit. Number 10: theoretical density 11.8 g/cm³, total magnetization 0.000 μB per formula unit. Number 11: theoretical density 12.8 g/cm³, total magnetization 0.000 μB per formula unit. Number 12: theoretical density 16.3 g/cm³, total magnetization 0.000 μB per formula unit. Number 13: theoretical density 14.8 g/cm³, total magnetization 0.000 μB per formula unit. Number 14: theoretical density 12.5 g/cm³, total magnetization 0.000 μB per formula unit. Number 15: theoretical density 13.0 g/cm³, total magnetization 0.000 μB per formula unit. Number 16: theoretical density 14.6 g/cm³, total magnetization 0.000 μB per formula unit. Number 17: theoretical density 14.4 g/cm³, total magnetization 0.000 μB per formula unit. Number 18: theoretical density 11.8 g/cm³, total magnetization 0.000 μB per formula unit. Number 19: theoretical density 12.4 g/cm³, total magnetization 0.000 μB per formula unit.